Below is an optimized crystal structure of TcGe3Bi, with properties calculated at the PBEsol level.

Properties
For the energy of formation from the pure elements, the calculation gives 0.349 eV/atom. The calculation puts the total energy at -5.7250 eV/atom. Its space-group type is Pm-3m, No. 221.

a b c (Å): 4.819 4.819 4.819
angles (deg): 90.00 90.00 90.00
Each line ends with the local moment (μB).
Fractional coordinates of all 5 atoms:
Ge  0.000  0.000  0.500  0.00
Ge  0.000  0.500  0.000  0.00
Ge  0.500  0.000  0.000  0.00
Bi  0.500  0.500  0.500  0.31
Tc  0.000  0.000  0.000  0.50